SrScSe2Cl | PBEsol | optimized geometry

abc: 5.201 5.201 4.820
angles: 90.00 90.00 90.00
Space group P4/mmm (No. 123)
Symmetry-distinct sites (fractional):
Sr (0.000, 0.000, 0.000)
Sc (0.500, 0.500, 0.500)
Se (0.000, 0.500, 0.500)
Cl (0.500, 0.500, 0.000)

Output
calculated density: 4.15 g/cm3
crystal system: tetragonal
formation energy without anion corrections: -1799 meV/atom
spin magnetization: 0.0 μB per formula unit